Entry 1:
# CsNa2IrPt, optimized geometry, DFT PBE
data_CsNa2IrPt
_chemical_formula_sum 'Cs1 Na2 Ir1 Pt1'
_symmetry_space_group_name_H-M 'P 1'
_symmetry_Int_Tables_number 1
_symmetry_space_group_name_Hall 'P 1'
_cell_length_a 5.627
_cell_length_b 5.038
_cell_length_c 5.627
_cell_angle_alpha 90.00
_cell_angle_beta 90.00
_cell_angle_gamma 90.00
loop_
_atom_site_label
_atom_site_type_symbol
_atom_site_fract_x
_atom_site_fract_y
_atom_site_fract_z
Na1 Na 0.000 0.000 0.500
Na2 Na 0.500 0.000 0.000
Cs1 Cs 0.000 0.000 0.000
Ir1 Ir 0.000 0.500 0.000
Pt1 Pt 0.500 0.500 0.500
# Calculated formation energy: 7.896 eV per formula unit
# Final energy: -10.50 eV for the cell shown
# SG: P4/mmm (123)

***

Entry 2:
# SrBSbTe2, optimized geometry, DFT PBE
data_SrBSbTe2
_chemical_formula_sum 'Sr1 B1 Sb1 Te2'
_symmetry_space_group_name_H-M 'P 1'
_symmetry_Int_Tables_number 1
_symmetry_space_group_name_Hall 'P 1'
_cell_length_a 5.523
_cell_length_b 5.523
_cell_length_c 4.457
_cell_angle_alpha 90.00
_cell_angle_beta 90.00
_cell_angle_gamma 90.00
loop_
_atom_site_label
_atom_site_type_symbol
_atom_site_fract_x
_atom_site_fract_y
_atom_site_fract_z
Te1 Te 0.000 0.500 0.000
Te2 Te 0.500 0.000 0.000
Sb1 Sb 0.000 0.000 0.500
Sr1 Sr 0.500 0.500 0.500
B1 B 0.000 0.000 0.000
# ΔE to the lowest computed polymorph: 0 meV per atom
# Final energy: -18.74 eV for the cell shown
# SG: P4/mmm (123)
# Formation energy (no corrections): 0.01 eV per atom

***

> Number 2 is which compound?

SrBSbTe2

***

> What is the final energy in the second record?

-18.74 eV for the cell shown

***

> The highest final energy belongs to which entry?

CsNa2IrPt